## i
# Ti2PtC2

Ti2PtC2 after structural relaxation (PBE, the Alexandria database).

The structure in POSCAR format:
```
Ti2PtC2
1.0
-2.0832 2.0832 4.3803
2.0832 -2.0832 4.3803
2.0832 2.0832 -4.3803
Ti Pt C
2 1 2
direct
0.2500 0.7500 0.5000 Ti
0.7500 0.2500 0.5000 Ti
0.0000 0.0000 0.0000 Pt
0.2316 0.2316 0.0000 C
0.7684 0.7684 0.0000 C
```

Summary:
Volume in A^3/atom: 15.207

=====

## ii
# Ti2PtC2

Ti2PtC2 after structural relaxation (PBE, the Alexandria database).

The structure in POSCAR format:
```
Ti2PtC2
1.0
6.0322 0.0000 0.0000
0.0000 6.0322 0.0000
0.0000 0.0000 3.0280
Ti Pt C
4 2 4
direct
0.1508 0.3492 0.0000 Ti
0.3492 0.8492 0.0000 Ti
0.6508 0.1508 0.0000 Ti
0.8492 0.6508 0.0000 Ti
0.0000 0.0000 0.5000 Pt
0.5000 0.5000 0.5000 Pt
0.1633 0.6633 0.5000 C
0.3367 0.1633 0.5000 C
0.6633 0.8367 0.5000 C
0.8367 0.3367 0.5000 C
```

Summary:
Volume in A^3/atom: 11.018

=====

In terms of stability, ii leads; the second structure lies 0.021 eV/atom higher.

=====

## i
# TiPt3C

TiPt3C after structural relaxation (PBE, the Alexandria database).

The structure in POSCAR format:
```
TiPt3C
1.0
4.6649 0.0000 0.0000
0.0000 4.6649 0.0000
0.0000 0.0000 4.6649
Ti Pt C
1 3 1
direct
0.0000 0.0000 0.0000 Ti
0.0000 0.0000 0.5000 Pt
0.0000 0.5000 0.0000 Pt
0.5000 0.0000 0.0000 Pt
0.5000 0.5000 0.5000 C
```

Summary:
Volume in A^3/atom: 20.303

=====

## ii
# TiPt3C

TiPt3C after structural relaxation (PBE, the Alexandria database).

The structure in POSCAR format:
```
TiPt3C
1.0
4.2034 0.0000 0.0000
0.0000 4.2034 0.0000
0.0000 0.0000 4.2034
Ti Pt C
1 3 1
direct
0.0000 0.0000 0.0000 Ti
0.0000 0.5000 0.5000 Pt
0.5000 0.0000 0.5000 Pt
0.5000 0.5000 0.0000 Pt
0.5000 0.5000 0.5000 C
```

Summary:
Volume in A^3/atom: 14.854

=====

In terms of stability, ii leads; the second structure lies 1.758 eV/atom higher.

=====

## i
# TlPtC2

TlPtC2 after structural relaxation (PBE, the Alexandria database).

The structure in POSCAR format:
```
TlPtC2
1.0
0.0000 2.9752 2.9752
2.9752 0.0000 2.9752
2.9752 2.9752 0.0000
Tl Pt C
1 1 2
direct
0.0000 0.0000 0.0000 Tl
0.5000 0.5000 0.5000 Pt
0.2500 0.2500 0.2500 C
0.7500 0.7500 0.7500 C
```

Summary:
Volume in A^3/atom: 13.168

=====

## ii
# TlPtC2

TlPtC2 after structural relaxation (PBE, the Alexandria database).

The structure in POSCAR format:
```
TlPtC2
1.0
-2.5839 2.5839 4.9176
2.5839 -2.5839 4.9176
2.5839 2.5839 -4.9176
Tl Pt C
2 2 4
direct
0.0000 0.0000 0.0000 Tl
0.7500 0.2500 0.5000 Tl
0.2500 0.7500 0.5000 Pt
0.5000 0.5000 0.0000 Pt
0.1987 0.6250 0.0737 C
0.3750 0.4487 0.5737 C
0.5513 0.1250 0.9263 C
0.8750 0.8013 0.4263 C
```

Summary:
Volume in A^3/atom: 16.417

=====

In terms of stability, ii leads; the second structure lies 0.842 eV/atom higher.